# Ce3Tl3ZnSe8, relaxed, DFT PBE-GGA
data_Ce3Tl3ZnSe8
_space_group_name_H-M_alt 'C 1 2/m 1'
_space_group_IT_number 12
_space_group_name_Hall '-C 2y'
_cell_length_a 14.479
_cell_length_b 8.375
_cell_length_c 9.151
_cell_angle_alpha 90.00
_cell_angle_beta 121.82
_cell_angle_gamma 90.00
loop_
_atom_site_label
_atom_site_type_symbol
_atom_site_fract_x
_atom_site_fract_y
_atom_site_fract_z
_atom_site_occupancy
Ce1 Ce 0.000 0.000 0.000 1
Ce2 Ce 0.250 0.250 0.000 1
Tl1 Tl 0.000 0.500 0.500 1
Tl2 Tl 0.250 0.250 0.500 1
Zn1 Zn 0.000 0.500 0.000 1
Se1 Se 0.015 0.258 0.803 1
Se2 Se 0.225 0.500 0.195 1
Se3 Se 0.237 0.000 0.210 1
# - spin magnetization (μB/cell) = 2.22
# - ΔE_f (raw) (eV/f.u.) = -16.8
# - mass density (g/cm³) = 6.1